# Cu2Ag3

A geometry-optimized Cu2Ag3 structure (PBE-GGA, OQMD).

a = 14.5176 Å, b = 3.8317 Å, c = 5.7008 Å
α = 90.00°, β = 100.62°, γ = 90.00°
With the nearest neighbours (Å) after each atom.
Space group Cm (No. 8)
Symmetry-distinct sites (fractional):
Cu1 0.0000 0.0000 0.0000 (multiplicity 2)  4 Cu 2.62-2.72, 6 Ag 2.72-2.84
Cu2 0.0053 0.0000 0.4791 (multiplicity 2)  8 Ag 2.69-2.92, 4 Cu 2.72-2.98
Cu3 0.3165 0.5000 0.8998 (multiplicity 2)  3 Cu 2.62-2.71, 7 Ag 2.73-2.86
Cu4 0.4105 0.0000 0.1824 (multiplicity 2)  6 Cu 2.63-2.75, 5 Ag 2.69-2.82
Ag1 0.0987 0.5000 0.2823 (multiplicity 2)  5 Cu 2.69-2.73, 6 Ag 2.83-2.90
Ag2 0.1041 0.5000 0.7878 (multiplicity 2)  7 Ag 2.74-2.87, 5 Cu 2.81-3.03
Ag3 0.2101 0.0000 0.5900 (multiplicity 2)  9 Ag 2.81-2.90, 3 Cu 2.86-2.92
Ag4 0.2128 0.0000 0.0835 (multiplicity 2)  4 Cu 2.76-3.04, 8 Ag 2.81-2.90
Ag5 0.3166 0.5000 0.3837 (multiplicity 2)  5 Cu 2.69-2.94, 6 Ag 2.81-2.85
Ag6 0.4117 0.0000 0.7004 (multiplicity 2)  8 Cu 2.72-2.95, 4 Ag 2.74-2.88

Energy of formation: 8.3 kJ per mole of atoms
Offset from the most stable computed form: 53.6 meV/atom

***

# CsTbCoSe3

A geometry-optimized CsTbCoSe3 structure (PBE-GGA, OQMD).

a = 9.8448 Å, b = 4.0710 Å, c = 10.0445 Å
α = 90.00°, β = 112.47°, γ = 90.00°
With the nearest neighbours (Å) after each atom.
Space group P2_1/m (No. 11)
Symmetry-distinct sites (fractional):
Cs1 0.2119 0.2500 0.2410 (multiplicity 2)  7 Se 3.60-3.74
Tb1 0.3299 0.7500 0.8578 (multiplicity 2)  6 Se 2.85-2.97
Co1 0.0746 0.2500 0.5910 (multiplicity 2)  4 Se 2.32-2.42
Se1 0.1192 0.2500 0.8443 (multiplicity 2)  1 Co 2.41
Se2 0.1775 0.7500 0.5389 (multiplicity 2)  3 Co 2.32-2.42
Se3 0.4737 0.7500 0.1633 (multiplicity 2)  3 Tb 2.85-2.87

Calculated total energy: -5.023 eV per atom

***

# YHfTc

A geometry-optimized YHfTc structure (PBE-GGA, OQMD).

a = 6.5654 Å, b = 6.5654 Å, c = 6.5654 Å
α = 90.00°, β = 90.00°, γ = 90.00°
With the nearest neighbours (Å) after each atom.
Space group F-43m (No. 216)
Symmetry-distinct sites (fractional):
Y1 0.0000 0.0000 0.0000 (multiplicity 4)  4 Tc 2.84
Hf1 0.0000 0.0000 0.5000 (multiplicity 4)  4 Tc 2.84
Tc1 0.2500 0.2500 0.7500 (multiplicity 4)  4 Hf 2.84, 4 Y 2.84

Energy of formation: 10.7 kJ per mole of atoms

***

# GdErMg2Ag4

A geometry-optimized GdErMg2Ag4 structure (PBE-GGA, OQMD).

a = 4.9110 Å, b = 4.9110 Å, c = 6.9479 Å
α = 90.00°, β = 90.00°, γ = 90.00°
With the nearest neighbours (Å) after each atom.
Space group P4/mmm (No. 123)
Symmetry-distinct sites (fractional):
Gd1 0.0000 0.0000 0.0000 (multiplicity 1)  8 Ag 3.03
Er1 0.5000 0.5000 0.5000 (multiplicity 1)  8 Ag 2.99
Mg1 0.0000 0.0000 0.5000 (multiplicity 1)  8 Ag 2.99
Mg2 0.5000 0.5000 0.0000 (multiplicity 1)  8 Ag 3.03
Ag1 0.0000 0.5000 0.2549 (multiplicity 4)  4 Mg 2.99-3.03, 2 Er 2.99, 2 Gd 3.03

Calculated total energy: -3.259 eV per atom

***

# GdTa

A geometry-optimized GdTa structure (PBE-GGA, OQMD).

a = 3.1741 Å, b = 3.1741 Å, c = 5.3366 Å
α = 90.00°, β = 90.00°, γ = 120.00°
With the nearest neighbours (Å) after each atom.
Space group P-6m2 (No. 187)
Symmetry-distinct sites (fractional):
Gd1 0.0000 0.0000 0.0000 (multiplicity 1)  6 Gd 3.17, 6 Ta 3.24
Ta1 0.6667 0.3333 0.5000 (multiplicity 1)  6 Ta 3.17, 6 Gd 3.24

Energy of formation: 52.0 kJ per mole of atoms
Offset from the most stable computed form: 0.0 meV/atom

***

# KHoZnTe3

A geometry-optimized KHoZnTe3 structure (PBE-GGA, OQMD).

a = 19.9416 Å, b = 4.4476 Å, c = 9.2769 Å
α = 90.00°, β = 101.89°, γ = 90.00°
With the nearest neighbours (Å) after each atom.
Space group C2/m (No. 12)
Symmetry-distinct sites (fractional):
K1 0.1371 0.0000 0.0647 (multiplicity 4)  7 Te 3.42-3.83
Ho1 0.1717 0.0000 0.5705 (multiplicity 4)  6 Te 3.02-3.35
Zn1 0.0327 0.5000 0.7277 (multiplicity 4)  2 Te 2.65-2.74
Te1 0.0000 0.0000 0.5000 (multiplicity 2)  4 Zn 3.04, 2 Ho 3.35
Te2 0.0000 0.5000 0.0000 (multiplicity 2)  2 Zn 2.74
Te3 0.1684 0.5000 0.7960 (multiplicity 4)  1 Zn 2.65
Te4 0.1730 0.5000 0.3505 (multiplicity 4)  3 Ho 3.02-3.03

Offset from the most stable computed form: 159.8 meV/atom